Entry 1:
The following is a DFT calculation (PBE) of a relaxed structure of Cd2Ag5Au4.

Cell and atoms, written as POSCAR:
```
Cd2Ag5Au4
1.0
-2.569 1.124 -0.402
-2.549 -3.341 6.944
5.391 9.379 1.747
Au Cd Ag
4 2 5
Direct
0.745 0.745 0.490
0.000 0.677 0.000
0.255 0.255 0.510
0.000 0.323 0.000
0.880 0.880 0.759
0.120 0.120 0.241
0.859 0.190 0.718
0.141 0.472 0.282
0.859 0.528 0.718
0.500 0.000 0.000
0.141 0.810 0.282
```

Results
Space group: Immm, No. 71
N(E_F), states/eV per cell: 3.604
Distance to the lowest polymorph of the same formula, eV/atom: 0.1884
Energy relative to the elements, eV/atom: 0.18

Entry 2:
The following is a DFT calculation (PBE) of a relaxed structure of LiP2Au.

Cell and atoms, written as POSCAR:
```
LiP2Au
1.0
3.536 0.000 0.000
0.000 3.536 0.000
0.000 0.000 5.257
P Au Li
2 1 1
Direct
0.000 0.000 0.553
0.000 0.000 0.947
0.500 0.500 0.250
0.500 0.500 0.750
```

Results
Space group: P4/mmm, No. 123
N(E_F), states/eV per cell: 0.776
Distance to the lowest polymorph of the same formula, eV/atom: 0.3577
Energy relative to the elements, eV/atom: 0.01

Entry 3:
The following is a DFT calculation (PBE) of a relaxed structure of PuCoSiTc.

Cell and atoms, written as POSCAR:
```
PuCoSiTc
1.0
4.417 0.000 0.000
2.208 3.825 0.000
2.208 1.275 3.606
Si Co Tc Pu
1 1 1 1
Direct
0.000 0.000 0.000
0.750 0.750 0.750
0.250 0.250 0.250
0.500 0.500 0.500
```

Results
Space group: F-43m, No. 216
E_form (uncorrected), kJ/mol of formula units: -71
N(E_F), states/eV per cell: 3.843

Entry 4:
The following is a DFT calculation (PBE) of a relaxed structure of SrPaSe3.

Cell and atoms, written as POSCAR:
```
SrPaSe3
1.0
4.730 0.000 0.000
0.000 7.757 0.253
0.000 -3.130 10.319
Se Sr Pa
6 2 2
Direct
0.750 0.203 0.043
0.250 0.942 0.342
0.750 0.058 0.658
0.250 0.797 0.957
0.750 0.554 0.658
0.250 0.446 0.342
0.750 0.720 0.421
0.250 0.280 0.579
0.750 0.872 0.839
0.250 0.128 0.161
```

Results
Space group: P2_1/m, No. 11
E_form (uncorrected), kJ/mol of formula units: -709
N(E_F), states/eV per cell: 8.912
Distance to the lowest polymorph of the same formula, eV/atom: 0.1733